(1)
The following is a PBE calculation of an optimized crystal structure of LuHfMgCd, from Alexandria.

Cell lengths 5.0697, 5.0697, 5.0697 Å; angles 60.00, 60.00, 60.00 degrees
Closest atoms and distances in Å follow each position.
Atoms (fractional coordinates):
Hf: 0.0000 0.0000 0.0000  4 Mg 3.10, 4 Cd 3.10
Cd: 0.7500 0.7500 0.7500  4 Lu 3.10, 4 Hf 3.10
Lu: 0.5000 0.5000 0.5000  4 Cd 3.10, 4 Mg 3.10
Mg: 0.2500 0.2500 0.2500  4 Lu 3.10, 4 Hf 3.10

Computed properties:
Final energy, eV/atom: -4.210
Formation energy, eV per atom: 0.04
Magnetic moment, μB per formula unit: 0.00
ρ, Mg/m³: 8.83

***

(2)
The following is a PBE calculation of an optimized crystal structure of LuHfCdOs, from Alexandria.

Cell lengths 4.8289, 4.8289, 4.8289 Å; angles 60.00, 60.00, 60.00 degrees
Closest atoms and distances in Å follow each position.
Atoms (fractional coordinates):
Lu: 0.5000 0.5000 0.5000  4 Cd 2.96, 4 Os 2.96
Os: 0.2500 0.2500 0.2500  4 Lu 2.96, 4 Hf 2.96
Hf: 0.0000 0.0000 0.0000  4 Cd 2.96, 4 Os 2.96
Cd: 0.7500 0.7500 0.7500  4 Hf 2.96, 4 Lu 2.96

Computed properties:
Final energy, eV/atom: -6.887
Formation energy, eV per atom: -0.23
Magnetic moment, μB per formula unit: 0.00
ρ, Mg/m³: 13.68

***

(3)
The following is a PBE calculation of an optimized crystal structure of LuHfCdPd, from Alexandria.

Cell lengths 4.9190, 4.9190, 4.9190 Å; angles 60.00, 60.00, 60.00 degrees
Closest atoms and distances in Å follow each position.
Atoms (fractional coordinates):
Hf: 0.0000 0.0000 0.0000  4 Pd 3.01, 4 Cd 3.01
Lu: 0.5000 0.5000 0.5000  4 Cd 3.01, 4 Pd 3.01
Cd: 0.2500 0.2500 0.2500  4 Lu 3.01, 4 Hf 3.01
Pd: 0.7500 0.7500 0.7500  4 Lu 3.01, 4 Hf 3.01

Computed properties:
Final energy, eV/atom: -5.482
Formation energy, eV per atom: -0.34
Magnetic moment, μB per formula unit: 0.00
ρ, Mg/m³: 11.29

***

(4)
The following is a PBE calculation of an optimized crystal structure of LuHfCdRe, from Alexandria.

Cell lengths 4.8458, 4.8458, 4.8458 Å; angles 60.00, 60.00, 60.00 degrees
Closest atoms and distances in Å follow each position.
Atoms (fractional coordinates):
Lu: 0.5000 0.5000 0.5000  4 Cd 2.97, 4 Re 2.97
Cd: 0.7500 0.7500 0.7500  4 Hf 2.97, 4 Lu 2.97
Re: 0.2500 0.2500 0.2500  4 Lu 2.97, 4 Hf 2.97
Hf: 0.0000 0.0000 0.0000  4 Re 2.97, 4 Cd 2.97

Computed properties:
Final energy, eV/atom: -7.034
Formation energy, eV per atom: -0.07
Magnetic moment, μB per formula unit: 0.00
ρ, Mg/m³: 13.46

***

> Among the records above, which one has the highest ρ?

LuHfCdOs

***

> Which of these has the highest ρ?

LuHfCdOs